[1]
# HgP2Os

An optimized crystal structure of HgP2Os (PBE, Alexandria).

Cell lengths 5.6510, 5.6510, 11.0476 Å; angles 90.00, 90.00, 90.00 degrees
Space group I-42d (No. 122)
Asymmetric unit:
Hg1 0.0000 0.0000 0.0000
P1 0.1891 0.2500 0.6250
Os1 0.0000 0.0000 0.5000

## Properties
final energy	-86.9	eV/cell
E_form	59	kJ/mol of formula units
M_tot	0.0	μB per formula unit

[2]
# Y3Ga4Ir2

An optimized crystal structure of Y3Ga4Ir2 (PBE, Alexandria).

Cell lengths 10.5757, 4.4538, 8.3998 Å; angles 90.00, 114.52, 90.00 degrees
Space group C2/m (No. 12)
Asymmetric unit:
Y1 0.0000 0.0000 0.0000
Y2 0.1804 0.5000 0.6456
Ga1 0.0387 0.0000 0.3718
Ga2 0.2005 0.5000 0.0383
Ir1 0.0911 0.5000 0.2609

## Properties
relative energy among the computed polymorphs	0	meV per atom
final energy	-112.3	eV/cell
E_form	-668	kJ/mol of formula units
M_tot	0.0	μB per formula unit

[3]
# YAl2Tc

An optimized crystal structure of YAl2Tc (PBE, Alexandria).

Cell lengths 3.4966, 4.7735, 8.9458 Å; angles 90.00, 90.00, 90.00 degrees
Space group Immm (No. 71)
Asymmetric unit:
Y1 0.0000 0.0000 0.0000
Al1 0.0000 0.5000 0.2238
Tc1 0.0000 0.0000 0.5000

## Properties
relative energy among the computed polymorphs	116	meV per atom
final energy	-50.4	eV/cell
E_form	-87	kJ/mol of formula units
M_tot	0.0	μB per formula unit

[4]
# SrZn3Cr

An optimized crystal structure of SrZn3Cr (PBE, Alexandria).

Cell lengths 4.9206, 4.9206, 4.9206 Å; angles 90.00, 90.00, 90.00 degrees
Space group Pm-3m (No. 221)
Asymmetric unit:
Sr1 0.0000 0.0000 0.0000
Zn1 0.0000 0.5000 0.5000
Cr1 0.5000 0.5000 0.5000

## Properties
relative energy among the computed polymorphs	0	meV per atom
final energy	-14.2	eV/cell
E_form	94	kJ/mol of formula units
M_tot	3.5	μB per formula unit

- Which of these has the highest M_tot?
  SrZn3Cr